Here is a geometry-optimized Dy4Al3Zn structure from Alexandria via LeMat-Bulk. Energies are from PBE. Values from VASP.

```
&SYSTEM
  ibrav = 0, nat = 8, ntyp = 3
/
ATOMIC_SPECIES
Dy 162.50 Dy.upf
Al 26.98 Al.upf
Zn 65.41 Zn.upf
ATOMIC_POSITIONS angstrom
Dy 0.000 0.000 0.000
Dy 0.000 2.239 3.579
Dy 1.842 0.000 5.775
Dy 1.842 2.239 9.450
Al 0.000 0.000 8.404
Al 0.000 2.239 6.837
Al 1.842 2.239 1.022
Zn 1.842 0.000 2.577
CELL_PARAMETERS angstrom
3.684 0.000 0.000
0.000 4.477 0.000
0.000 0.000 11.675
```

Properties
Space group: Pmm2, No. 25
Uncorrected energy (eV per atom): -4.22
DOS at the Fermi energy (states/eV/f.u.): 7.1
ΔH_f (0 K) (eV per atom): -0.361
Distance to the lowest polymorph of the same formula (meV per atom): 28